[1]
Entry from the Alexandria database: an optimized crystal structure of NbGaTe6 (GGA-PBE).

Results
Formation energy without anion corrections ... -0.098 eV/atom
Crystal system ... triclinic
Total DFT energy (no corrections) ... -32.730 eV/f.u.

Geometry as CIF:
```
data_NbGaTe6
_cell_length_a 6.767
_cell_length_b 6.805
_cell_length_c 6.851
_cell_angle_alpha 86.14
_cell_angle_beta 63.38
_cell_angle_gamma 64.27
_symmetry_space_group_name_H-M 'P -1'
_symmetry_Int_Tables_number 2
_symmetry_space_group_name_Hall '-P 1'
loop_
_atom_site_label
_atom_site_fract_x
_atom_site_fract_y
_atom_site_fract_z
Nb1 0.000 0.000 0.000
Ga1 0.000 0.500 0.500
Te1 0.156 0.829 0.566
Te2 0.175 0.305 0.823
Te3 0.477 0.705 0.906
```



[2]
Entry from the Alexandria database: an optimized crystal structure of FeGe2HPb (GGA-PBE).

Results
Crystal system ... tetragonal
Total DFT energy (no corrections) ... -22.327 eV/f.u.

Geometry as CIF:
```
data_FeGe2HPb
_cell_length_a 4.445
_cell_length_b 4.445
_cell_length_c 5.217
_cell_angle_alpha 90.00
_cell_angle_beta 90.00
_cell_angle_gamma 90.00
_symmetry_space_group_name_H-M 'P 4/m m m'
_symmetry_Int_Tables_number 123
_symmetry_space_group_name_Hall '-P 4 2'
loop_
_atom_site_label
_atom_site_fract_x
_atom_site_fract_y
_atom_site_fract_z
Fe1 0.000 0.000 0.000
Ge1 0.000 0.500 0.000
H1 0.500 0.500 0.500
Pb1 0.000 0.000 0.500
```



[3]
Entry from the Alexandria database: an optimized crystal structure of Ac2BiRh (GGA-PBE).

Results
Energy of formation ... -0.636 eV per atom
Crystal system ... tetragonal
Offset from the most stable computed form ... 95 meV per atom
Total DFT energy (no corrections) ... -21.995 eV/f.u.

Geometry as CIF:
```
data_Ac2BiRh
_cell_length_a 3.845
_cell_length_b 3.845
_cell_length_c 8.323
_cell_angle_alpha 90.00
_cell_angle_beta 90.00
_cell_angle_gamma 90.00
_symmetry_space_group_name_H-M 'P 4/m m m'
_symmetry_Int_Tables_number 123
_symmetry_space_group_name_Hall '-P 4 2'
loop_
_atom_site_label
_atom_site_fract_x
_atom_site_fract_y
_atom_site_fract_z
Ac1 0.000 0.000 0.213
Bi1 0.500 0.500 0.500
Rh1 0.500 0.500 0.000
```



[4]
Entry from the Alexandria database: an optimized crystal structure of YRu3W (GGA-PBE).

Results
Energy of formation ... 0.709 eV per atom
Crystal system ... cubic
Offset from the most stable computed form ... 0 meV per atom
Total DFT energy (no corrections) ... -43.701 eV/f.u.

Geometry as CIF:
```
data_YRu3W
_cell_length_a 4.703
_cell_length_b 4.703
_cell_length_c 4.703
_cell_angle_alpha 90.00
_cell_angle_beta 90.00
_cell_angle_gamma 90.00
_symmetry_space_group_name_H-M 'P m -3 m'
_symmetry_Int_Tables_number 221
_symmetry_space_group_name_Hall '-P 4 2 3'
loop_
_atom_site_label
_atom_site_fract_x
_atom_site_fract_y
_atom_site_fract_z
Y1 0.000 0.000 0.000
Ru1 0.000 0.500 0.500
W1 0.500 0.500 0.500
```



[5]
Entry from the Alexandria database: an optimized crystal structure of K2LiPb (GGA-PBE).

Results
Energy of formation ... -0.082 eV per atom
Crystal system ... tetragonal
Total DFT energy (no corrections) ... -8.146 eV/f.u.

Geometry as CIF:
```
data_K2LiPb
_cell_length_a 4.001
_cell_length_b 4.001
_cell_length_c 10.203
_cell_angle_alpha 90.00
_cell_angle_beta 90.00
_cell_angle_gamma 90.00
_symmetry_space_group_name_H-M 'P 4 m m'
_symmetry_Int_Tables_number 99
_symmetry_space_group_name_Hall 'P 4 -2'
loop_
_atom_site_label
_atom_site_fract_x
_atom_site_fract_y
_atom_site_fract_z
K1 0.000 0.000 0.000
K2 0.500 0.500 0.388
Li1 0.000 0.000 0.655
Pb1 0.500 0.500 0.752
```



[6]
Entry from the Alexandria database: an optimized crystal structure of Cs3TbO3 (GGA-PBE).

Results
Formation energy without anion corrections ... -1.916 eV/atom
Crystal system ... monoclinic
Offset from the most stable computed form ... 0 meV per atom
Total DFT energy (no corrections) ... -35.475 eV/f.u.

Geometry as CIF:
```
data_Cs3TbO3
_cell_length_a 8.217
_cell_length_b 7.715
_cell_length_c 12.447
_cell_angle_alpha 90.00
_cell_angle_beta 95.17
_cell_angle_gamma 90.00
_symmetry_space_group_name_H-M 'P 1 21/c 1'
_symmetry_Int_Tables_number 14
_symmetry_space_group_name_Hall '-P 2ybc'
loop_
_atom_site_label
_atom_site_fract_x
_atom_site_fract_y
_atom_site_fract_z
Cs1 0.062 0.125 0.157
Cs2 0.347 0.154 0.922
Cs3 0.384 0.677 0.810
Tb1 0.154 0.592 0.071
O1 0.113 0.053 0.417
O2 0.242 0.649 0.553
O3 0.292 0.043 0.699
```



[7]
Entry from the Alexandria database: an optimized crystal structure of Be2Rh (GGA-PBE).

Results
Energy of formation ... -0.041 eV per atom
Crystal system ... trigonal
Total DFT energy (no corrections) ... -14.926 eV/f.u.

Geometry as CIF:
```
data_Be2Rh
_cell_length_a 2.6842
_cell_length_b 2.6842
_cell_length_c 5.3788
_cell_angle_alpha 90.00
_cell_angle_beta 90.00
_cell_angle_gamma 120.00
_symmetry_space_group_name_H-M 'P -3 m 1'
_symmetry_Int_Tables_number 164
_symmetry_space_group_name_Hall '-P 3 2"'
loop_
_atom_site_label
_atom_site_fract_x
_atom_site_fract_y
_atom_site_fract_z
Be1 0.3333 0.6667 0.3272
Rh1 0.0000 0.0000 0.0000
```



[8]
Entry from the Alexandria database: an optimized crystal structure of BeCrCu3 (GGA-PBE).

Results
Energy of formation ... 1.566 eV per atom
Crystal system ... cubic
Offset from the most stable computed form ... 833 meV per atom
Total DFT energy (no corrections) ... -17.808 eV/f.u.

Geometry as CIF:
```
data_BeCrCu3
_cell_length_a 4.499
_cell_length_b 4.499
_cell_length_c 4.499
_cell_angle_alpha 90.00
_cell_angle_beta 90.00
_cell_angle_gamma 90.00
_symmetry_space_group_name_H-M 'P m -3 m'
_symmetry_Int_Tables_number 221
_symmetry_space_group_name_Hall '-P 4 2 3'
loop_
_atom_site_label
_atom_site_fract_x
_atom_site_fract_y
_atom_site_fract_z
Be1 0.000 0.000 0.000
Cr1 0.500 0.500 0.500
Cu1 0.000 0.500 0.500
```